No. 1
Density functional theory data (PBE-GGA) for an optimized crystal structure of Tb5TmTl2.

Calculated values
DOS at the Fermi energy = 23.76 states/eV per cell
Formation energy = -0.4 eV/f.u.
Relative energy among the computed polymorphs = 0.041 eV per atom
Total magnetic moment = 0.000 μB per formula unit

Lattice parameters (Å, degrees): 5.4071 5.4071 20.1298 90.00 90.00 120.00
Space group P6_3/mmc (No. 194)
Inequivalent atoms, fractional coordinates:
Tb (0.0000, 0.0000, 0.1637) (multiplicity 4)
Tb (0.3333, 0.6667, 0.0602) (multiplicity 4)
Tb (0.3333, 0.6667, 0.2500) (multiplicity 2)
Tm (0.3333, 0.6667, 0.7500) (multiplicity 2)
Tl (0.3333, 0.6667, 0.5969) (multiplicity 4)


No. 2
Density functional theory data (PBE-GGA) for an optimized crystal structure of Tb15Tm4Tl.

Calculated values
DOS at the Fermi energy = 24.89 states/eV per cell
Formation energy = -0.4 eV/f.u.
Total magnetic moment = 0.000 μB per formula unit

Lattice parameters (Å, degrees): 4.964 4.964 25.138 90.00 90.00 90.00
Space group P4/mmm (No. 123)
Inequivalent atoms, fractional coordinates:
Tb (0.000, 0.000, 0.000) (multiplicity 1)
Tb (0.000, 0.000, 0.197) (multiplicity 2)
Tb (0.000, 0.000, 0.399) (multiplicity 2)
Tb (0.000, 0.500, 0.098) (multiplicity 4)
Tb (0.000, 0.500, 0.299) (multiplicity 4)
Tb (0.000, 0.500, 0.500) (multiplicity 2)
Tm (0.500, 0.500, 0.199) (multiplicity 2)
Tm (0.500, 0.500, 0.400) (multiplicity 2)
Tl (0.500, 0.500, 0.000) (multiplicity 1)